1.
## P2HSCl (PBE-GGA)

Data for an optimized crystal structure of P2HSCl.

extended XYZ file:
```
5
Lattice="4.685 0.000 0.000 0.000 4.685 0.000 0.000 0.000 4.887" Properties=species:S:1:pos:R:3 pbc="T T T"
P 0.000 2.343 0.000
P 2.343 0.000 0.000
H 0.000 0.000 2.444
S 2.343 2.343 2.444
Cl 2.343 2.343 0.000
```

Properties
M_tot ... 0.41 μB/atom
Calculated volume ... 21.46 Å³ per atom
Offset from the most stable computed form ... 831.1 meV per atom

---

2.
## MgTaNiPt (PBE-GGA)

Data for an optimized crystal structure of MgTaNiPt.

extended XYZ file:
```
4
Lattice="0.000 3.140 3.140 3.140 0.000 3.140 3.140 3.140 0.000" Properties=species:S:1:pos:R:3 pbc="T T T"
Mg 0.000 0.000 0.000
Ta 3.140 3.140 3.140
Ni 1.570 1.570 1.570
Pt 4.710 4.710 4.710
```

Properties
DFT formation energy ... -0.426 eV/atom
M_tot ... 0.00 μB/atom
Calculated volume ... 15.48 Å³ per atom

---

3.
## CrGeTeRu (PBE-GGA)

Data for an optimized crystal structure of CrGeTeRu.

extended XYZ file:
```
4
Lattice="4.430 -1.631 0.000 4.430 1.631 0.000 -1.224 0.000 4.707" Properties=species:S:1:pos:R:3 pbc="T T T"
Cr 0.000 0.000 0.000
Ge 1.269 0.000 4.562
Te 3.928 0.000 2.607
Ru 6.450 0.000 1.750
```

Properties
M_tot ... 0.54 μB/atom
Calculated volume ... 17.00 Å³ per atom
Formation energy without anion corrections ... 0.1746 eV/atom
Offset from the most stable computed form ... 170.3 meV per atom

---

4.
## PrMgSi2Ir (PBE-GGA)

Data for an optimized crystal structure of PrMgSi2Ir.

extended XYZ file:
```
5
Lattice="-2.055 2.055 5.445 2.055 -2.055 5.445 2.055 2.055 -5.445" Properties=species:S:1:pos:R:3 pbc="T T T"
Pr 0.000 0.000 0.000
Mg 2.055 0.000 2.723
Si 0.000 0.000 4.233
Si 0.000 0.000 6.657
Ir 0.000 2.055 2.723
```

Properties
M_tot ... 0.00 μB/atom
Calculated volume ... 18.40 Å³ per atom
Formation energy without anion corrections ... -0.7261 eV/atom

---

5.
## ZrW (PBE-GGA)

Data for an optimized crystal structure of ZrW.

extended XYZ file:
```
8
Lattice="0.000 4.259 5.242 3.733 0.000 5.242 3.733 4.259 0.000" Properties=species:S:1:pos:R:3 pbc="T T T"
Zr 2.800 0.544 3.931
Zr 4.666 2.674 6.552
Zr 2.800 5.845 3.931
Zr 4.666 7.975 6.552
W 4.035 3.195 3.931
W 5.902 5.324 6.552
W 1.564 3.195 3.931
W 3.430 5.324 6.552
```

Properties
DFT formation energy ... 0.757 eV/atom
M_tot ... 0.00 μB/atom
Calculated volume ... 20.84 Å³ per atom

---

6.
## FeNi2Br (PBE-GGA)

Data for an optimized crystal structure of FeNi2Br.

extended XYZ file:
```
4
Lattice="-1.840 1.840 4.036 1.840 -1.840 4.036 1.840 1.840 -4.036" Properties=species:S:1:pos:R:3 pbc="T T T"
Fe 0.000 0.000 0.000
Ni 1.840 0.000 2.018
Ni 0.000 0.000 4.036
Br 0.000 1.840 2.018
```

Properties
M_tot ... 1.06 μB/atom
Calculated volume ... 13.66 Å³ per atom
Formation energy without anion corrections ... 0.6441 eV/atom
Offset from the most stable computed form ... 370.6 meV per atom

---

7.
## Bi4Sb2Br3 (PBE-GGA)

Data for an optimized crystal structure of Bi4Sb2Br3.

extended XYZ file:
```
18
Lattice="7.048 -7.000 0.000 7.048 7.000 0.000 -2.379 0.000 7.427" Properties=species:S:1:pos:R:3 pbc="T T T"
Bi 0.903 1.384 5.973
Bi 4.595 3.648 4.026
Bi 2.092 -1.384 2.259
Bi 5.931 3.648 7.115
Bi 5.785 -3.648 0.312
Bi 9.624 1.384 5.168
Bi 7.121 -3.648 3.401
Bi 10.813 -1.384 1.454
Sb 2.487 1.567 3.429
Sb 1.297 -1.567 7.142
Sb 10.419 1.567 0.285
Sb 9.229 -1.567 3.998
Br 5.263 6.865 5.570
Br 5.218 2.450 0.231
Br 7.687 2.450 3.483
Br 4.029 -2.450 3.944
Br 6.498 -2.450 7.196
Br 6.453 -6.865 1.857
```

Properties
M_tot ... 0.00 μB/atom
Calculated volume ... 40.71 Å³ per atom
Formation energy without anion corrections ... -0.1614 eV/atom

---

8.
## Tb3Ga2Ir (PBE-GGA)

Data for an optimized crystal structure of Tb3Ga2Ir.

extended XYZ file:
```
24
Lattice="11.936 0.000 0.000 0.000 4.300 0.000 0.000 0.000 11.189" Properties=species:S:1:pos:R:3 pbc="T T T"
Tb 0.598 1.075 1.394
Tb 1.385 3.225 6.234
Tb 2.757 1.075 8.949
Tb 3.211 3.225 3.355
Tb 4.583 1.075 0.640
Tb 5.370 3.225 6.989
Tb 6.566 1.075 4.200
Tb 7.353 3.225 10.549
Tb 8.725 1.075 7.834
Tb 9.179 3.225 2.239
Tb 10.551 1.075 4.955
Tb 11.338 3.225 9.794
Ga 0.106 3.225 3.382
Ga 2.299 3.225 0.051
Ga 3.669 1.075 5.645
Ga 5.862 1.075 8.976
Ga 6.074 3.225 2.212
Ga 8.267 3.225 5.544
Ga 9.637 1.075 11.138
Ga 11.830 1.075 7.807
Ir 1.472 1.075 4.221
Ir 4.496 3.225 9.815
Ir 7.440 1.075 1.374
Ir 10.464 3.225 6.968
```

Properties
DFT formation energy ... -0.683 eV/atom
M_tot ... 0.00 μB/atom
Calculated volume ... 23.93 Å³ per atom

---

9.
## ScIrCl2 (PBE-GGA)

Data for an optimized crystal structure of ScIrCl2.

extended XYZ file:
```
8
Lattice="-2.155 2.155 8.063 2.155 -2.155 8.063 2.155 2.155 -8.063" Properties=species:S:1:pos:R:3 pbc="T T T"
Sc 0.000 0.000 0.000
Sc 0.000 2.155 4.031
Ir 2.155 0.000 4.031
Ir 0.000 0.000 8.063
Cl 1.078 -1.039 6.047
Cl 1.116 1.078 2.016
Cl 1.078 3.194 -2.016
Cl 1.039 1.078 10.078
```

Properties
M_tot ... 0.00 μB/atom
Calculated volume ... 18.73 Å³ per atom
Formation energy without anion corrections ... -0.4683 eV/atom
Offset from the most stable computed form ... 459.7 meV per atom

---

10.
## Pr8Ge5Cl (PBE-GGA)

Data for an optimized crystal structure of Pr8Ge5Cl.

extended XYZ file:
```
14
Lattice="-4.584 4.584 4.629 4.584 -4.584 4.629 4.584 4.584 -4.629" Properties=species:S:1:pos:R:3 pbc="T T T"
Pr 3.945 2.919 -1.788
Pr 6.305 0.650 0.620
Pr 0.650 2.864 -0.620
Pr 0.639 1.665 2.841
Pr 3.934 1.721 4.010
Pr 1.665 -0.639 6.418
Pr 2.919 5.224 1.788
Pr -1.721 3.934 5.249
Ge 0.000 0.000 0.000
Ge 2.278 -1.147 3.504
Ge 3.437 2.307 1.126
Ge 2.307 5.732 -1.126
Ge 1.147 2.278 5.755
Cl 0.000 4.584 2.315
```

Properties
M_tot ... 0.00 μB/atom
Calculated volume ... 27.80 Å³ per atom
Formation energy without anion corrections ... -0.8639 eV/atom

---

11.
## LaRe2Si2 (PBE-GGA)

Data for an optimized crystal structure of LaRe2Si2.

extended XYZ file:
```
10
Lattice="-2.080 2.124 10.529 2.080 -2.124 10.529 2.080 2.124 -10.529" Properties=species:S:1:pos:R:3 pbc="T T T"
La 0.000 1.062 3.433
La 2.080 1.062 7.096
Re 2.080 -1.062 9.777
Re 2.080 1.062 0.815
Re 0.000 1.062 9.714
Re 0.000 3.185 0.752
Si 2.080 1.062 -4.668
Si 2.080 1.062 -2.196
Si 0.000 1.062 12.725
Si 0.000 1.062 15.197
```

Properties
M_tot ... 0.00 μB/atom
Calculated volume ... 18.61 Å³ per atom
Formation energy without anion corrections ... -0.5465 eV/atom

---

12.
## BiTe2C (PBE-GGA)

Data for an optimized crystal structure of BiTe2C.

extended XYZ file:
```
4
Lattice="2.236 1.291 8.045 -2.236 1.291 8.045 0.000 -2.582 8.045" Properties=species:S:1:pos:R:3 pbc="T T T"
Bi 0.000 0.000 0.000
Te 0.000 0.000 10.099
Te 0.000 0.000 14.035
C 0.000 0.000 12.067
```

Properties
M_tot ... 0.00 μB/atom
Calculated volume ... 34.84 Å³ per atom
Formation energy without anion corrections ... 1.0565 eV/atom
Offset from the most stable computed form ... 84.0 meV per atom

---

13.
## ScHg2Cl (PBE-GGA)

Data for an optimized crystal structure of ScHg2Cl.

extended XYZ file:
```
4
Lattice="1.722 0.994 10.263 -1.722 0.994 10.263 0.000 -1.989 10.263" Properties=species:S:1:pos:R:3 pbc="T T T"
Sc 0.000 0.000 0.000
Hg 0.000 0.000 8.091
Hg 0.000 0.000 15.586
Cl 0.000 0.000 22.173
```

Properties
M_tot ... 0.00 μB/atom
Calculated volume ... 26.36 Å³ per atom
Formation energy without anion corrections ... -0.7040 eV/atom
Offset from the most stable computed form ... 0.0 meV per atom

---

14.
## ZrRhBr2 (PBE-GGA)

Data for an optimized crystal structure of ZrRhBr2.

extended XYZ file:
```
4
Lattice="-2.128 2.128 4.360 2.128 -2.128 4.360 2.128 2.128 -4.360" Properties=species:S:1:pos:R:3 pbc="T T T"
Zr 0.000 0.000 0.000
Rh 0.000 2.128 2.180
Br 2.128 0.000 2.180
Br 0.000 0.000 4.360
```

Properties
M_tot ... 0.00 μB/atom
Calculated volume ... 19.74 Å³ per atom
Formation energy without anion corrections ... -0.0039 eV/atom
Offset from the most stable computed form ... 692.2 meV per atom

---

15.
## BAsC2 (PBE-GGA)

Data for an optimized crystal structure of BAsC2.

extended XYZ file:
```
4
Lattice="2.461 0.000 0.000 -1.222 3.749 0.000 -0.155 -0.281 6.360" Properties=species:S:1:pos:R:3 pbc="T T T"
B 0.000 0.000 0.000
As 1.229 -0.001 1.962
C -0.152 1.230 5.929
C 1.079 1.956 5.929
```

Properties
DFT formation energy ... 0.533 eV/atom
M_tot ... 0.00 μB/atom
Calculated volume ... 14.67 Å³ per atom
Offset from the most stable computed form ... 134.8 meV per atom

---

16.
## ZrNi10B3 (PBE-GGA)

Data for an optimized crystal structure of ZrNi10B3.

extended XYZ file:
```
28
Lattice="0.000 5.290 5.290 5.290 0.000 5.290 5.290 5.290 0.000" Properties=species:S:1:pos:R:3 pbc="T T T"
Zr 2.645 2.645 2.645
Zr 7.935 7.935 7.935
Ni 1.785 1.785 0.000
Ni 3.506 3.506 0.000
Ni 1.785 0.000 1.785
Ni 5.290 3.506 1.785
Ni 3.506 0.000 3.506
Ni 5.290 1.785 3.506
Ni 6.494 4.086 4.086
Ni 0.000 1.785 1.785
Ni 3.506 5.290 1.785
Ni 3.506 1.785 5.290
Ni 4.086 4.086 4.086
Ni 6.494 6.494 4.086
Ni 6.494 4.086 6.494
Ni 4.086 6.494 4.086
Ni 4.086 4.086 6.494
Ni 6.494 6.494 6.494
Ni 0.000 3.506 3.506
Ni 1.785 5.290 3.506
Ni 1.785 3.506 5.290
Ni 4.086 6.494 6.494
B 5.290 5.290 2.835
B 5.290 2.835 5.290
B 7.745 5.290 5.290
B 2.835 5.290 5.290
B 5.290 7.745 5.290
B 5.290 5.290 7.745
```

Properties
DFT formation energy ... -0.340 eV/atom
M_tot ... 0.00 μB/atom
Calculated volume ... 10.58 Å³ per atom

---

17.
## RbCoRh2 (PBE-GGA)

Data for an optimized crystal structure of RbCoRh2.

extended XYZ file:
```
8
Lattice="-2.591 2.591 7.781 2.591 -2.591 7.781 2.591 2.591 -7.781" Properties=species:S:1:pos:R:3 pbc="T T T"
Rb 0.000 0.000 0.000
Rb 0.000 2.591 3.891
Co 2.591 0.000 3.891
Co 0.000 0.000 7.781
Rh 1.296 -0.165 5.836
Rh 2.426 1.296 1.945
Rh 1.296 2.756 -1.945
Rh 0.165 1.296 9.727
```

Properties
DFT formation energy ... 0.977 eV/atom
M_tot ... 0.63 μB/atom
Calculated volume ... 26.13 Å³ per atom
Offset from the most stable computed form ... 0.0 meV per atom

---

18.
## Si2HgAs2 (PBE-GGA)

Data for an optimized crystal structure of Si2HgAs2.

extended XYZ file:
```
5
Lattice="-2.130 2.130 7.195 2.130 -2.130 7.195 2.130 2.130 -7.195" Properties=species:S:1:pos:R:3 pbc="T T T"
Si 2.130 0.000 3.597
Si 0.000 2.130 3.597
Hg 0.000 0.000 0.000
As 0.000 0.000 4.961
As 0.000 0.000 9.429
```

Properties
M_tot ... 0.00 μB/atom
Calculated volume ... 26.11 Å³ per atom
Formation energy without anion corrections ... 0.2340 eV/atom
Offset from the most stable computed form ... 36.6 meV per atom

---

19.
## LaSiIr2 (PBE-GGA)

Data for an optimized crystal structure of LaSiIr2.

extended XYZ file:
```
4
Lattice="2.917 0.000 0.000 0.000 3.834 0.000 0.000 0.000 6.588" Properties=species:S:1:pos:R:3 pbc="T T T"
La 0.000 0.000 0.000
Si 1.459 1.917 2.288
Ir 0.000 0.000 3.180
Ir 1.459 1.917 4.694
```

Properties
M_tot ... 0.00 μB/atom
Calculated volume ... 18.42 Å³ per atom
Formation energy without anion corrections ... -0.2965 eV/atom

---

20.
## Mg2CO (PBE-GGA)

Data for an optimized crystal structure of Mg2CO.

extended XYZ file:
```
4
Lattice="0.000 2.801 2.801 2.801 0.000 2.801 2.801 2.801 0.000" Properties=species:S:1:pos:R:3 pbc="T T T"
Mg 1.401 1.401 1.401
Mg 4.202 4.202 4.202
C 0.000 0.000 0.000
O 2.801 2.801 2.801
```

Properties
M_tot ... 0.50 μB/atom
Calculated volume ... 10.99 Å³ per atom
Formation energy without anion corrections ... 0.0079 eV/atom
Offset from the most stable computed form ... 453.6 meV per atom

---

21.
## InPdAu6 (PBE-GGA)

Data for an optimized crystal structure of InPdAu6.

extended XYZ file:
```
8
Lattice="5.909 0.000 0.000 -2.955 5.118 0.000 0.000 0.000 4.782" Properties=species:S:1:pos:R:3 pbc="T T T"
In 0.000 0.000 0.000
Pd 0.000 3.412 2.391
Au -1.458 2.570 0.000
Au 1.488 0.859 2.391
Au 1.458 2.570 0.000
Au 0.000 5.095 0.000
Au 4.421 0.859 2.391
Au 2.955 3.399 2.391
```

Properties
DFT formation energy ... -0.091 eV/atom
M_tot ... 0.00 μB/atom
Calculated volume ... 18.08 Å³ per atom
Offset from the most stable computed form ... 17.8 meV per atom

---

22.
## K4Rb2Pt (PBE-GGA)

Data for an optimized crystal structure of K4Rb2Pt.

extended XYZ file:
```
7
Lattice="9.399 -2.792 0.000 9.399 2.792 0.000 -2.323 0.000 7.836" Properties=species:S:1:pos:R:3 pbc="T T T"
K 0.209 0.000 1.801
K 6.883 0.000 2.135
K 9.593 0.000 5.701
K 16.267 0.000 6.035
Rb 3.948 0.000 6.024
Rb 12.528 0.000 1.812
Pt 9.399 0.000 0.000
```

Properties
DFT formation energy ... 0.030 eV/atom
M_tot ... 0.00 μB/atom
Calculated volume ... 58.76 Å³ per atom
Offset from the most stable computed form ... 0.0 meV per atom